Entry i
Compound: Cs2TlHg6
Source: Alexandria
Functional: PBE-GGA
Structure: relaxed

Structure (POSCAR):
```
Cs2TlHg6
1.0
6.478 -3.747 0.000
6.478 3.747 0.000
-0.010 0.000 6.678
Cs Tl Hg
2 1 6
direct
0.167 0.167 0.351 Cs
0.833 0.833 0.649 Cs
0.500 0.500 0.500 Tl
0.137 0.682 0.156 Hg
0.318 0.863 0.844 Hg
0.320 0.320 0.845 Hg
0.680 0.680 0.155 Hg
0.682 0.137 0.156 Hg
0.863 0.318 0.844 Hg
```

Values from the calculation:
Density of states at the Fermi level (states/eV/f.u.): 3.23
Magnetization (Bohr magnetons per cell): 0.00



Entry ii
Compound: Cs2TlHg6
Source: Alexandria
Functional: PBE-GGA
Structure: relaxed

Structure (POSCAR):
```
Cs2TlHg6
1.0
0.000 5.543 5.543
5.543 0.000 5.543
5.543 5.543 0.000
Cs Tl Hg
2 1 6
direct
0.250 0.250 0.250 Cs
0.750 0.750 0.750 Cs
0.000 0.000 0.000 Tl
0.290 0.290 0.710 Hg
0.290 0.710 0.290 Hg
0.290 0.710 0.710 Hg
0.710 0.290 0.290 Hg
0.710 0.290 0.710 Hg
0.710 0.710 0.290 Hg
```

Values from the calculation:
Density of states at the Fermi level (states/eV/f.u.): 6.51
Magnetization (Bohr magnetons per cell): 0.00



Stability, lowest: entry ii